Computed, not measured: CrGaF after structural relaxation at the GGA+U level of DFT.

Unit cell a=10.633 b=3.052 c=7.068 alpha=90.00 beta=114.59 gamma=90.00
Space group Cm (No. 8)
One atom of each set of equivalent atoms:
Cr 0.000 0.000 0.000 x2
Cr 0.219 0.000 0.807 x2
Ga 0.271 0.500 0.523 x2
Ga 0.274 0.500 0.165 x2
F 0.495 0.500 0.274 x2
F 0.499 0.500 0.716 x2

Summary:
E_tot in eV/atom: -4.982